A plane-wave DFT calculation with PBE-GGA was carried out for a relaxed structure of AcTb5DyY2.

The magnetization is 0.00 μB per cell. The crystal system is orthorhombic. The density of states at the Fermi level comes out at 1.361 states/eV/atom. The calculation puts the energy of formation at 0.15 eV/atom.

The space group is Cmc2_1 (No. 36) and the conventional cell measures 5.5381, 24.0674 and 9.3145 Å, with angles of 90.00, 90.00 and 90.00 degrees. Symmetry generates all atoms from Ac at (0.0000, 0.1022, 0.0000), Tb at (0.0000, 0.0233, 0.3164), Tb at (0.0000, 0.1034, 0.5963), Tb at (0.0000, 0.1928, 0.2968), Tb at (0.0000, 0.2427, 0.9404), Tb at (0.0000, 0.4916, 0.0900), Dy at (0.0000, 0.2579, 0.6114), Y at (0.0000, 0.3305, 0.2518) and Y at (0.0000, 0.3870, 0.8449).

=====

A plane-wave DFT calculation with PBE-GGA was carried out for a relaxed structure of AcTb6DyY2.

The magnetization is 0.00 μB per cell. The crystal system is monoclinic. The density of states at the Fermi level comes out at 1.500 states/eV/atom. The calculation puts the energy of formation at 0.13 eV/atom.

The space group is C2/c (No. 15) and the conventional cell measures 9.3695, 15.1964 and 9.5101 Å, with angles of 90.00, 94.36 and 90.00 degrees. Symmetry generates all atoms from Ac at (0.0000, 0.0352, 0.2500), Tb at (0.0611, 0.1843, 0.9419), Tb at (0.0961, 0.3852, 0.1147), Tb at (0.2207, 0.2291, 0.3196), Dy at (0.0000, 0.4120, 0.7500) and Y at (0.2408, 0.4464, 0.4487).

=====

A plane-wave DFT calculation with PBE-GGA was carried out for a relaxed structure of Ac2Tb6Dy3Y.

The magnetization is 0.00 μB per cell. The crystal system is monoclinic. The density of states at the Fermi level comes out at 1.306 states/eV/atom. The calculation puts the energy of formation at 0.04 eV/atom.

The space group is C2/m (No. 12) and the conventional cell measures 6.3068, 10.9222 and 11.9783 Å, with angles of 90.00, 100.10 and 90.00 degrees. Symmetry generates all atoms from Ac at (0.0000, 0.1666, 0.0000), Tb at (0.2448, 0.5000, 0.7422), Tb at (0.2486, 0.1654, 0.7423), Dy at (0.0000, 0.0000, 0.5000), Dy at (0.0000, 0.3336, 0.5000) and Y at (0.0000, 0.5000, 0.0000).

=====

A plane-wave DFT calculation with PBE-GGA was carried out for a relaxed structure of AcTb2DyY5.

The magnetization is 0.00 μB per cell. The crystal system is orthorhombic. The density of states at the Fermi level comes out at 1.428 states/eV/atom. The calculation puts the energy of formation at 0.16 eV/atom.

The space group is Cmc2_1 (No. 36) and the conventional cell measures 5.5711, 23.8725 and 9.3783 Å, with angles of 90.00, 90.00 and 90.00 degrees. Symmetry generates all atoms from Ac at (0.0000, 0.1026, 0.0000), Tb at (0.0000, 0.3307, 0.2507), Tb at (0.0000, 0.3864, 0.8523), Dy at (0.0000, 0.2603, 0.6086), Y at (0.0000, 0.0244, 0.3181), Y at (0.0000, 0.1044, 0.6007), Y at (0.0000, 0.1913, 0.2974), Y at (0.0000, 0.2428, 0.9375) and Y at (0.0000, 0.4922, 0.0905).

=====

A plane-wave DFT calculation with PBE-GGA was carried out for a relaxed structure of AcTb3Dy6Y2.

The magnetization is 0.00 μB per cell. The crystal system is monoclinic. The density of states at the Fermi level comes out at 1.289 states/eV/atom. The calculation puts the energy of formation at 0.03 eV/atom.

The space group is C2/m (No. 12) and the conventional cell measures 6.2165, 10.7602 and 11.9029 Å, with angles of 90.00, 99.98 and 90.00 degrees. Symmetry generates all atoms from Ac at (0.0000, 0.0000, 0.0000), Tb at (0.0000, 0.1671, 0.5000), Tb at (0.0000, 0.5000, 0.5000), Dy at (0.2467, 0.3321, 0.7453), Dy at (0.2504, 0.0000, 0.7451) and Y at (0.0000, 0.3333, 0.0000).

=====

A plane-wave DFT calculation with PBE-GGA was carried out for a relaxed structure of AcTb5Dy2Y.

The magnetization is 0.00 μB per cell. The crystal system is tetragonal. The density of states at the Fermi level comes out at 1.407 states/eV/atom. The calculation puts the energy of formation at 0.28 eV/atom.

The space group is I4/mcm (No. 140) and the conventional cell measures 9.0926, 9.0926 and 14.9307 Å, with angles of 90.00, 90.00 and 90.00 degrees. Symmetry generates all atoms from Ac at (0.0000, 0.0000, 0.2500), Tb at (0.0000, 0.0000, 0.0000), Tb at (0.2023, 0.2977, 0.1254), Dy at (0.1118, 0.3882, 0.5000) and Y at (0.0000, 0.5000, 0.2500).

=====

A plane-wave DFT calculation with PBE-GGA was carried out for a relaxed structure of AcTb3DyY.

The magnetization is 0.00 μB per cell. The crystal system is monoclinic. The density of states at the Fermi level comes out at 1.711 states/eV/atom. The calculation puts the energy of formation at 0.22 eV/atom.

The space group is C2/m (No. 12) and the conventional cell measures 23.1782, 5.4257 and 6.9971 Å, with angles of 90.00, 98.25 and 90.00 degrees. Symmetry generates all atoms from Ac at (0.1274, 0.0000, 0.4828), Tb at (0.0215, 0.0000, 0.7830), Tb at (0.1805, 0.5000, 0.7835), Tb at (0.2254, 0.5000, 0.3103), Dy at (0.1676, 0.0000, 0.0230) and Y at (0.0751, 0.5000, 0.1137).

=====

A plane-wave DFT calculation with PBE-GGA was carried out for a relaxed structure of AcTbDyY.

The magnetization is 0.00 μB per cell. The crystal system is cubic. The density of states at the Fermi level comes out at 1.757 states/eV/atom. The calculation puts the energy of formation at 0.13 eV/atom.

The space group is F-43m (No. 216) and the conventional cell measures 8.2643, 8.2643 and 8.2643 Å, with angles of 90.00, 90.00 and 90.00 degrees. Symmetry generates all atoms from Ac at (0.0000, 0.0000, 0.0000), Tb at (0.0000, 0.0000, 0.5000), Dy at (0.2500, 0.2500, 0.7500) and Y at (0.2500, 0.2500, 0.2500).